A relaxed PuZrSn crystal. Source: the Open Quantum Materials Database, functional PBE.

Electronic total energy   -8.422 eV per atom

The structure in POSCAR format:
```
PuZrSn
1.0
1.534 -3.534 -3.199
-0.262 -4.831 1.292
-3.345 -3.004 -2.205
Pu Sn Zr
1 1 1
Direct
0.000 0.000 0.000
0.750 0.750 0.750
0.250 0.250 0.250
```